Material: LiBi
Method: DFT, SCAN
State: single point on PBEsol structure

abc: 3.3366 3.3366 4.1478
angles: 90.00 90.00 90.00
With the nearest neighbours (Å) after each atom.
Fractional coordinates of all 2 atoms:
Bi (0.0000, 0.0000, 0.0000)  8 Li 3.14, 4 Bi 3.34
Li (0.5000, 0.5000, 0.5000)  8 Bi 3.14, 4 Li 3.34

Properties
formation energy from the elements = -422 meV/atom
size of the total moment = 0.00 μB per formula unit

=====

Material: Li3MgBi
Method: DFT, SCAN
State: single point on PBEsol structure

abc: 5.2703 5.2703 5.2703
angles: 90.00 90.00 90.00
With the nearest neighbours (Å) after each atom.
Fractional coordinates of all 5 atoms:
Mg (0.5000, 0.5000, 0.5000)  12 Li 3.73
Bi (0.0000, 0.0000, 0.0000)  6 Li 2.64
Li (0.0000, 0.5000, 0.0000)  2 Bi 2.64
Li (0.0000, 0.0000, 0.5000)  2 Bi 2.64
Li (0.5000, 0.0000, 0.0000)  2 Bi 2.64

Properties
formation energy from the elements = -46 meV/atom
size of the total moment = 0.00 μB per formula unit
relative energy among the computed polymorphs = 0.00 kcal/mol of atoms

=====

Material: LiMgBi3
Method: DFT, SCAN
State: single point on PBEsol structure

abc: 5.1522 5.1522 5.1522
angles: 90.00 90.00 90.00
With the nearest neighbours (Å) after each atom.
Fractional coordinates of all 5 atoms:
Mg (0.5000, 0.5000, 0.5000)  12 Bi 3.64
Bi (0.0000, 0.5000, 0.0000)  2 Li 2.58
Bi (0.0000, 0.0000, 0.5000)  2 Li 2.58
Bi (0.5000, 0.0000, 0.0000)  2 Li 2.58
Li (0.0000, 0.0000, 0.0000)  6 Bi 2.58

Properties
formation energy from the elements = 201 meV/atom
size of the total moment = 0.00 μB per formula unit
relative energy among the computed polymorphs = 0.00 kcal/mol of atoms

=====

Material: LiMgBi3
Method: DFT, SCAN
State: single point on PBEsol structure

abc: 5.4935 5.4935 5.4935
angles: 90.00 90.00 90.00
With the nearest neighbours (Å) after each atom.
Fractional coordinates of all 5 atoms:
Mg (0.0000, 0.0000, 0.0000)  6 Bi 2.75
Bi (0.0000, 0.5000, 0.0000)  2 Mg 2.75
Bi (0.0000, 0.0000, 0.5000)  2 Mg 2.75
Bi (0.5000, 0.0000, 0.0000)  2 Mg 2.75
Li (0.5000, 0.5000, 0.5000)  12 Bi 3.88

Properties
formation energy from the elements = 286 meV/atom
size of the total moment = 0.00 μB per formula unit
relative energy among the computed polymorphs = 1.95 kcal/mol of atoms

=====

Material: Li3Mg5Bi3Pb
Method: DFT, SCAN
State: single point on PBEsol structure

abc: 4.7898 4.7898 15.9126
angles: 81.34 81.34 60.00
With the nearest neighbours (Å) after each atom.
Fractional coordinates of all 12 atoms:
Li (0.6254, 0.6254, 0.1238)  1 Pb 2.90, 3 Bi 2.94
Li (0.8754, 0.8754, 0.3737)  4 Bi 2.90-2.94
Li (0.1254, 0.1254, 0.6239)  4 Bi 2.92-2.93
Mg (0.5009, 0.5009, 0.4973)  4 Bi 2.92-2.94
Mg (0.7492, 0.7492, 0.7526)  1 Pb 2.92, 3 Bi 2.96
Mg (0.9997, 0.9997, 0.0010)  3 Pb 2.93, 1 Bi 2.94
Mg (0.2502, 0.2502, 0.2493)  4 Bi 2.93-2.95
Mg (0.3738, 0.3738, 0.8787)  3 Pb 2.92, 1 Bi 3.04
Bi (0.9372, 0.9372, 0.1884)  4 Li 2.90-2.94, 4 Mg 2.93-2.94
Bi (0.1876, 0.1876, 0.4372)  4 Mg 2.92-2.95, 4 Li 2.92-2.94
Bi (0.4383, 0.4383, 0.6850)  3 Li 2.93, 5 Mg 2.94-3.04
Pb (0.6870, 0.6870, 0.9389)  1 Li 2.90, 7 Mg 2.92-2.93

Properties
formation energy from the elements = -398 meV/atom
size of the total moment = 0.00 μB per formula unit

=====

Material: LiMgZr2Bi
Method: DFT, SCAN
State: single point on PBEsol structure

abc: 4.7088 4.7818 4.7818
angles: 90.00 90.00 90.00
With the nearest neighbours (Å) after each atom.
Fractional coordinates of all 5 atoms:
Mg (0.5000, 0.5000, 0.5000)  8 Zr 3.36, 4 Bi 3.38
Bi (0.5000, 0.0000, 0.0000)  2 Li 2.35
Zr (0.0000, 0.0000, 0.5000)  2 Li 2.39
Zr (0.0000, 0.5000, 0.0000)  2 Li 2.39
Li (0.0000, 0.0000, 0.0000)  2 Bi 2.35, 4 Zr 2.39

Properties
formation energy from the elements = 393 meV/atom
size of the total moment = 0.00 μB per formula unit

=====

Material: LiMn3Bi
Method: DFT, SCAN
State: single point on PBEsol structure

abc: 5.1059 5.1059 5.1059
angles: 90.00 90.00 90.00
With the nearest neighbours (Å) after each atom.
Fractional coordinates of all 5 atoms:
Mn (0.0000, 0.5000, 0.0000)  2 Bi 2.55
Mn (0.0000, 0.0000, 0.5000)  2 Bi 2.55
Mn (0.5000, 0.0000, 0.0000)  2 Bi 2.55
Bi (0.0000, 0.0000, 0.0000)  6 Mn 2.55
Li (0.5000, 0.5000, 0.5000)  12 Mn 3.61

Properties
formation energy from the elements = 791 meV/atom
size of the total moment = 11.58 μB per formula unit

=====

Material: Li2MnTcBi
Method: DFT, SCAN
State: single point on PBEsol structure

abc: 4.7986 4.7986 5.0862
angles: 90.00 90.00 90.00
With the nearest neighbours (Å) after each atom.
Fractional coordinates of all 5 atoms:
Mn (0.0000, 0.0000, 0.5000)  2 Bi 2.54
Li (0.0000, 0.5000, 0.0000)  2 Bi 2.40
Li (0.5000, 0.0000, 0.0000)  2 Bi 2.40
Bi (0.0000, 0.0000, 0.0000)  4 Li 2.40, 2 Mn 2.54
Tc (0.5000, 0.5000, 0.5000)  4 Mn 3.39, 8 Li 3.50

Properties
formation energy from the elements = 1031 meV/atom
size of the total moment = 8.27 μB per formula unit

=====

Material: Li3BiMo
Method: DFT, SCAN
State: single point on PBEsol structure

abc: 5.1389 5.1389 5.1389
angles: 90.00 90.00 90.00
With the nearest neighbours (Å) after each atom.
Fractional coordinates of all 5 atoms:
Mo (0.5000, 0.5000, 0.5000)  12 Li 3.63
Bi (0.0000, 0.0000, 0.0000)  6 Li 2.57
Li (0.0000, 0.5000, 0.0000)  2 Bi 2.57
Li (0.0000, 0.0000, 0.5000)  2 Bi 2.57
Li (0.5000, 0.0000, 0.0000)  2 Bi 2.57

Properties
formation energy from the elements = 692 meV/atom
size of the total moment = 5.91 μB per formula unit

=====

Material: RbLiBi2Mo4O16
Method: DFT, SCAN
State: single point on PBEsol structure

abc: 5.2602 6.9478 19.5717
angles: 88.67 86.48 67.76
With the nearest neighbours (Å) after each atom.
Fractional coordinates of all 48 atoms:
Rb (0.9656, 0.0688, 0.7500)  4 O 2.77
Rb (0.0344, 0.9312, 0.2500)  4 O 2.77
Li (0.6836, 0.6328, 0.7500)  4 O 2.02-2.04
Li (0.3164, 0.3672, 0.2500)  4 O 2.02-2.04
Bi (0.8561, 0.2938, 0.9654)  8 O 2.31-2.52
Bi (0.8501, 0.2938, 0.5346)  8 O 2.31-2.52
Bi (0.1439, 0.7062, 0.0346)  8 O 2.31-2.52
Bi (0.1499, 0.7062, 0.4654)  8 O 2.31-2.52
Mo (0.7373, 0.5056, 0.1487)  4 O 1.73-1.83
Mo (0.5843, 0.8748, 0.9068)  4 O 1.73-1.84
Mo (0.2627, 0.4944, 0.8513)  4 O 1.73-1.83
Mo (0.4591, 0.1252, 0.4068)  4 O 1.73-1.84
Mo (0.5409, 0.8748, 0.5932)  4 O 1.73-1.84
Mo (0.4157, 0.1252, 0.0932)  4 O 1.73-1.84
Mo (0.7571, 0.5056, 0.3513)  4 O 1.73-1.83
Mo (0.2429, 0.4944, 0.6487)  4 O 1.73-1.83
O (0.4865, 0.3375, 0.4568)  1 Mo 1.84
O (0.5147, 0.4256, 0.7850)  1 Mo 1.73
O (0.0596, 0.4256, 0.7150)  1 Mo 1.73
O (0.1051, 0.3076, 0.8651)  1 Mo 1.79
O (0.7295, 0.0373, 0.0390)  1 Mo 1.81
O (0.4151, 0.5205, 0.9306)  1 Mo 1.83
O (0.5873, 0.3076, 0.6349)  1 Mo 1.79
O (0.5135, 0.6625, 0.5432)  1 Mo 1.84
O (0.2706, 0.7271, 0.6695)  1 Mo 1.74
O (0.3163, 0.9107, 0.1041)  1 Mo 1.76
O (0.8949, 0.6924, 0.1349)  1 Mo 1.79
O (0.2705, 0.9627, 0.9610)  1 Mo 1.81
O (0.7669, 0.9627, 0.5390)  1 Mo 1.81
O (0.1759, 0.3375, 0.0432)  1 Mo 1.84
O (0.9356, 0.4795, 0.4306)  1 Mo 1.83
O (0.2331, 0.0373, 0.4610)  1 Mo 1.81
O (0.0644, 0.5205, 0.5694)  1 Mo 1.83
O (0.7012, 0.8160, 0.6700)  1 Mo 1.73
O (0.2988, 0.1840, 0.3300)  1 Mo 1.73
O (0.4828, 0.8160, 0.8300)  1 Mo 1.73
O (0.5172, 0.1840, 0.1700)  1 Mo 1.73
O (0.9976, 0.2729, 0.1695)  1 Mo 1.74
O (0.2270, 0.0893, 0.6041)  1 Mo 1.76
O (0.7730, 0.9107, 0.3959)  1 Mo 1.76
O (0.8241, 0.6625, 0.9568)  1 Mo 1.84
O (0.5849, 0.4795, 0.0694)  1 Mo 1.83
O (0.4127, 0.6924, 0.3651)  1 Mo 1.79
O (0.7294, 0.2729, 0.3305)  1 Mo 1.74
O (0.9404, 0.5744, 0.2850)  1 Mo 1.73
O (0.0024, 0.7271, 0.8305)  1 Mo 1.74
O (0.4853, 0.5744, 0.2150)  1 Mo 1.73
O (0.6837, 0.0893, 0.8959)  1 Mo 1.76

Properties
size of the total moment = 0.00 μB per formula unit
raw formation energy = -195.9 kJ/mol of atoms

=====

Material: LiSn2BiN
Method: DFT, SCAN
State: single point on PBEsol structure

abc: 4.2595 5.9505 5.9505
angles: 90.00 90.00 90.00
With the nearest neighbours (Å) after each atom.
Fractional coordinates of all 5 atoms:
N (0.5000, 0.0000, 0.0000)  2 Bi 2.13
Li (0.5000, 0.5000, 0.5000)  8 Sn 3.66
Bi (0.0000, 0.0000, 0.0000)  2 N 2.13
Sn (0.0000, 0.0000, 0.5000)  2 Bi 2.98
Sn (0.0000, 0.5000, 0.0000)  2 Bi 2.98

Properties
size of the total moment = 1.19 μB per formula unit
raw formation energy = 106.0 kJ/mol of atoms

=====

Material: Na2LiBi2
Method: DFT, SCAN
State: single point on PBEsol structure

abc: 4.9643 7.5367 7.5367
angles: 90.00 90.00 90.00
With the nearest neighbours (Å) after each atom.
Fractional coordinates of all 10 atoms:
Na (0.5000, 0.1622, 0.6622)  6 Bi 3.23-3.39, 1 Na 3.46
Na (0.5000, 0.6622, 0.8378)  6 Bi 3.23-3.39, 1 Na 3.46
Na (0.5000, 0.8378, 0.3378)  6 Bi 3.23-3.39, 1 Na 3.46
Na (0.5000, 0.3378, 0.1622)  6 Bi 3.23-3.39, 1 Na 3.46
Bi (0.0000, 0.3565, 0.8565)  2 Li 2.90, 1 Bi 3.06, 2 Na 3.23
Bi (0.0000, 0.8565, 0.6435)  2 Li 2.90, 1 Bi 3.06, 2 Na 3.23
Bi (0.0000, 0.6435, 0.1435)  2 Li 2.90, 1 Bi 3.06, 2 Na 3.23
Bi (0.0000, 0.1435, 0.3565)  2 Li 2.90, 1 Bi 3.06, 2 Na 3.23
Li (0.0000, 0.0000, 0.0000)  4 Bi 2.90
Li (0.0000, 0.5000, 0.5000)  4 Bi 2.90

Properties
formation energy from the elements = -372 meV/atom
size of the total moment = 0.00 μB per formula unit

=====

Material: NaLi2Bi2
Method: DFT, SCAN
State: single point on PBEsol structure

abc: 3.2343 8.7058 8.7058
angles: 90.00 90.00 90.00
With the nearest neighbours (Å) after each atom.
Fractional coordinates of all 10 atoms:
Na (0.0000, 0.0000, 0.0000)  2 Na 3.23, 4 Bi 3.24
Na (0.0000, 0.5000, 0.5000)  2 Na 3.23, 4 Bi 3.24
Bi (0.0000, 0.3329, 0.8329)  6 Li 3.01-3.04, 2 Bi 3.23, 2 Na 3.24
Bi (0.0000, 0.8329, 0.6671)  6 Li 3.01-3.04, 2 Bi 3.23, 2 Na 3.24
Bi (0.0000, 0.6671, 0.1671)  6 Li 3.01-3.04, 2 Bi 3.23, 2 Na 3.24
Bi (0.0000, 0.1671, 0.3329)  6 Li 3.01-3.04, 2 Bi 3.23, 2 Na 3.24
Li (0.5000, 0.1263, 0.6263)  6 Bi 3.01-3.04, 3 Li 3.11-3.23
Li (0.5000, 0.6263, 0.8737)  6 Bi 3.01-3.04, 3 Li 3.11-3.23
Li (0.5000, 0.8737, 0.3737)  6 Bi 3.01-3.04, 3 Li 3.11-3.23
Li (0.5000, 0.3737, 0.1263)  6 Bi 3.01-3.04, 3 Li 3.11-3.23

Properties
formation energy from the elements = -415 meV/atom
size of the total moment = 0.00 μB per formula unit
relative energy among the computed polymorphs = 0.00 kcal/mol of atoms